No. 1
First-principles (PBE-GGA) data for a relaxed structure of Pm3F8, as listed in Alexandria via LeMat-Bulk.

The space group is Pm-3m (No. 221) and the conventional cell measures 5.690, 5.690 and 5.690 Å, with angles of 90.00, 90.00 and 90.00 degrees. Symmetry generates all atoms from Pm at (0.000, 0.000, 0.500) and F at (0.231, 0.231, 0.231).

For the total moment, the calculation gives 1.0 μB per cell. As for the uncorrected formation energy: -3.8452 eV/atom. Its crystal system is cubic. For the total energy, the calculation gives -71.52 eV/cell. Its density of states at the Fermi level is 0.3502 states/eV per atom.

No. 2
First-principles (PBE-GGA) data for a relaxed structure of Al3GeI, as listed in Alexandria via LeMat-Bulk.

The space group is Pm-3m (No. 221) and the conventional cell measures 5.172, 5.172 and 5.172 Å, with angles of 90.00, 90.00 and 90.00 degrees. Symmetry generates all atoms from Al at (0.000, 0.000, 0.500), Ge at (0.000, 0.000, 0.000) and I at (0.500, 0.500, 0.500).

For the total moment, the calculation gives 0.0 μB per cell. As for the uncorrected formation energy: 0.4715 eV/atom. Its crystal system is cubic. The energy above the most stable polymorph in this dataset is 0 meV per atom. For the total energy, the calculation gives -15.04 eV/cell. Its density of states at the Fermi level is 0.3445 states/eV per atom.

No. 3
First-principles (PBE-GGA) data for a relaxed structure of Pm2Dy3Sc3, as listed in Alexandria via LeMat-Bulk.

The space group is R-3m (No. 166, hexagonal axes) and the conventional cell measures 6.1464, 6.1464 and 22.6975 Å, with angles of 90.00, 90.00 and 120.00 degrees. Symmetry generates all atoms from Pm at (0.0000, 0.0000, 0.2086), Dy at (0.0000, 0.0000, 0.0712), Dy at (0.0000, 0.0000, 0.5000) and Sc at (0.0000, 0.5000, 0.0000).

For the total moment, the calculation gives 0.1 μB per cell. Its crystal system is trigonal. The energy above the most stable polymorph in this dataset is 209 meV per atom. For the total energy, the calculation gives -120.65 eV/cell. Its density of states at the Fermi level is 2.3909 states/eV per atom.

No. 4
First-principles (PBE-GGA) data for a relaxed structure of BiRu2Pt2, as listed in Alexandria via LeMat-Bulk.

The space group is P4/mbm (No. 127) and the conventional cell measures 6.950, 6.950 and 3.657 Å, with angles of 90.00, 90.00 and 90.00 degrees. Symmetry generates all atoms from Bi at (0.000, 0.000, 0.000), Ru at (0.126, 0.374, 0.000) and Pt at (0.162, 0.662, 0.500).

For the total moment, the calculation gives 0.0 μB per cell. Its crystal system is tetragonal. For the total energy, the calculation gives -65.85 eV/cell. Its density of states at the Fermi level is 1.1297 states/eV per atom.

No. 5
First-principles (PBE-GGA) data for a relaxed structure of BeIr2Os, as listed in Alexandria via LeMat-Bulk.

The space group is I-4m2 (No. 119) and the conventional cell measures 3.744, 3.744 and 7.639 Å, with angles of 90.00, 90.00 and 90.00 degrees. Symmetry generates all atoms from Be at (0.000, 0.000, 0.000), Ir at (0.000, 0.000, 0.500), Ir at (0.000, 0.500, 0.750) and Os at (0.000, 0.500, 0.250).

For the total moment, the calculation gives 0.0 μB per cell. Its crystal system is tetragonal. For the total energy, the calculation gives -65.15 eV/cell. Its density of states at the Fermi level is 0.8428 states/eV per atom.

No. 6
First-principles (PBE-GGA) data for a relaxed structure of Pm2PrNdSm, as listed in Alexandria via LeMat-Bulk.

The space group is P2/c (No. 13) and the conventional cell measures 8.362, 6.791 and 6.314 Å, with angles of 90.00, 90.30 and 90.00 degrees. Symmetry generates all atoms from Pm at (0.195, 0.192, 0.252), Pr at (0.500, 0.500, 0.000), Nd at (0.000, 0.338, 0.750) and Sm at (0.500, 0.075, 0.750).

For the total moment, the calculation gives 0.0 μB per cell. Its crystal system is monoclinic. For the total energy, the calculation gives -45.04 eV/cell. Its density of states at the Fermi level is 1.3218 states/eV per atom.

No. 7
First-principles (PBE-GGA) data for a relaxed structure of ZnFe2Os, as listed in Alexandria via LeMat-Bulk.

The space group is I-42d (No. 122) and the conventional cell measures 6.734, 6.734 and 5.069 Å, with angles of 90.00, 90.00 and 90.00 degrees. Symmetry generates all atoms from Zn at (0.000, 0.000, 0.000), Fe at (0.238, 0.250, 0.625) and Os at (0.000, 0.000, 0.500).

For the total moment, the calculation gives 22.1 μB per cell. Its crystal system is tetragonal. For the total energy, the calculation gives -106.66 eV/cell. Its density of states at the Fermi level is 1.0393 states/eV per atom.

No. 8
First-principles (PBE-GGA) data for a relaxed structure of InSi2Br, as listed in Alexandria via LeMat-Bulk.

The space group is R3m (No. 160, hexagonal axes) and the conventional cell measures 3.8948, 3.8948 and 23.8398 Å, with angles of 90.00, 90.00 and 120.00 degrees. Symmetry generates all atoms from In at (0.0000, 0.0000, 0.0000), Si at (0.0000, 0.0000, 0.2355), Si at (0.0000, 0.0000, 0.5412) and Br at (0.0000, 0.0000, 0.7482).

For the total moment, the calculation gives 0.0 μB per cell. As for the uncorrected formation energy: 0.0153 eV/atom. Its crystal system is trigonal. The energy above the most stable polymorph in this dataset is 0 meV per atom. For the total energy, the calculation gives -45.59 eV/cell. Its density of states at the Fermi level is 0.1864 states/eV per atom.

No. 9
First-principles (PBE-GGA) data for a relaxed structure of BaYTa2, as listed in Alexandria via LeMat-Bulk.

The space group is P4mm (No. 99) and the conventional cell measures 3.617, 3.617 and 9.081 Å, with angles of 90.00, 90.00 and 90.00 degrees. Symmetry generates all atoms from Ba at (0.000, 0.000, 0.000), Y at (0.500, 0.500, 0.619), Ta at (0.000, 0.000, 0.402) and Ta at (0.500, 0.500, 0.283).

For the total moment, the calculation gives 0.0 μB per cell. Its crystal system is tetragonal. The energy above the most stable polymorph in this dataset is 0 meV per atom. For the total energy, the calculation gives -30.37 eV/cell. Its density of states at the Fermi level is 1.3598 states/eV per atom.

No. 10
First-principles (PBE-GGA) data for a relaxed structure of As2RuSeF, as listed in Alexandria via LeMat-Bulk.

The space group is P4/mmm (No. 123) and the conventional cell measures 4.302, 4.302 and 4.714 Å, with angles of 90.00, 90.00 and 90.00 degrees. Symmetry generates all atoms from As at (0.000, 0.500, 0.000), Ru at (0.000, 0.000, 0.500), Se at (0.500, 0.500, 0.500) and F at (0.500, 0.500, 0.000).

For the total moment, the calculation gives 0.0 μB per cell. As for the uncorrected formation energy: 0.6095 eV/atom. Its crystal system is tetragonal. The energy above the most stable polymorph in this dataset is 350 meV per atom. For the total energy, the calculation gives -20.88 eV/cell. Its density of states at the Fermi level is 0.6583 states/eV per atom.

No. 11
First-principles (PBE-GGA) data for a relaxed structure of NbV5Re4, as listed in Alexandria via LeMat-Bulk.

The space group is P4/mmm (No. 123) and the conventional cell measures 3.051, 3.051 and 15.463 Å, with angles of 90.00, 90.00 and 90.00 degrees. Symmetry generates all atoms from Nb at (0.000, 0.000, 0.000), V at (0.500, 0.500, 0.109), V at (0.500, 0.500, 0.304), V at (0.500, 0.500, 0.500), Re at (0.000, 0.000, 0.205) and Re at (0.000, 0.000, 0.402).

For the total moment, the calculation gives 0.0 μB per cell. Its crystal system is tetragonal. For the total energy, the calculation gives -108.45 eV/cell. Its density of states at the Fermi level is 0.4171 states/eV per atom.

No. 12
First-principles (PBE-GGA) data for a relaxed structure of TaAlHg2, as listed in Alexandria via LeMat-Bulk.

The space group is Pmmm (No. 47) and the conventional cell measures 3.009, 5.109 and 5.167 Å, with angles of 90.00, 90.00 and 90.00 degrees. Symmetry generates all atoms from Ta at (0.000, 0.000, 0.000), Al at (0.500, 0.500, 0.000), Hg at (0.000, 0.500, 0.500) and Hg at (0.500, 0.000, 0.500).

For the total moment, the calculation gives 0.0 μB per cell. Its crystal system is orthorhombic. For the total energy, the calculation gives -14.77 eV/cell. Its density of states at the Fermi level is 0.6385 states/eV per atom.

No. 13
First-principles (PBE-GGA) data for a relaxed structure of HoMg2Cd2Ag2, as listed in Alexandria via LeMat-Bulk.

The space group is R-3m (No. 166, hexagonal axes) and the conventional cell measures 4.8763, 4.8763 and 21.9762 Å, with angles of 90.00, 90.00 and 120.00 degrees. Symmetry generates all atoms from Ho at (0.0000, 0.0000, 0.0000), Mg at (0.0000, 0.0000, 0.1417), Cd at (0.0000, 0.0000, 0.4155) and Ag at (0.0000, 0.0000, 0.2680).

For the total moment, the calculation gives 0.0 μB per cell. Its crystal system is trigonal. For the total energy, the calculation gives -49.72 eV/cell. Its density of states at the Fermi level is 0.4678 states/eV per atom.

No. 14
First-principles (PBE-GGA) data for a relaxed structure of Zn2ReB, as listed in Alexandria via LeMat-Bulk.

The space group is I-42d (No. 122) and the conventional cell measures 6.810, 6.810 and 4.450 Å, with angles of 90.00, 90.00 and 90.00 degrees. Symmetry generates all atoms from Zn at (0.183, 0.250, 0.125), Re at (0.000, 0.000, 0.500) and B at (0.000, 0.000, 0.000).

For the total moment, the calculation gives 0.0 μB per cell. Its crystal system is tetragonal. For the total energy, the calculation gives -77.68 eV/cell. Its density of states at the Fermi level is 0.0384 states/eV per atom.

No. 15
First-principles (PBE-GGA) data for a relaxed structure of CsLa2Hg2, as listed in Alexandria via LeMat-Bulk.

The space group is I4/mmm (No. 139) and the conventional cell measures 4.995, 4.995 and 16.080 Å, with angles of 90.00, 90.00 and 90.00 degrees. Symmetry generates all atoms from Cs at (0.000, 0.000, 0.000), La at (0.000, 0.500, 0.250) and Hg at (0.000, 0.000, 0.390).

For the total moment, the calculation gives 0.0 μB per cell. Its crystal system is tetragonal. The energy above the most stable polymorph in this dataset is 55 meV per atom. For the total energy, the calculation gives -23.21 eV/cell. Its density of states at the Fermi level is 1.0245 states/eV per atom.

No. 16
First-principles (PBE-GGA) data for a relaxed structure of Ca2CdOsO8, as listed in Alexandria via LeMat-Bulk.

The space group is P-1 (No. 2) and the conventional cell measures 4.394, 5.268 and 6.784 Å, with angles of 91.96, 101.45 and 90.33 degrees. Symmetry generates all atoms from Ca at (0.090, 0.016, 0.277), Cd at (0.500, 0.500, 0.000), Os at (0.500, 0.500, 0.500), O at (0.214, 0.449, 0.243), O at (0.262, 0.301, 0.630), O at (0.295, 0.792, 0.563) and O at (0.361, 0.921, 0.002).

For the total moment, the calculation gives 0.0 μB per cell. As for the uncorrected formation energy: -1.4836 eV/atom. Its crystal system is triclinic. For the total energy, the calculation gives -73.62 eV/cell.

No. 17
First-principles (PBE-GGA) data for a relaxed structure of EuThRhAu, as listed in Alexandria via LeMat-Bulk.

The space group is F-43m (No. 216) and the conventional cell measures 7.261, 7.261 and 7.261 Å, with angles of 90.00, 90.00 and 90.00 degrees. Symmetry generates all atoms from Eu at (0.000, 0.000, 0.000), Th at (0.000, 0.000, 0.500), Rh at (0.250, 0.250, 0.250) and Au at (0.250, 0.250, 0.750).

For the total moment, the calculation gives 27.9 μB per cell. Its crystal system is cubic. For the total energy, the calculation gives -122.96 eV/cell. Its density of states at the Fermi level is 1.9041 states/eV per atom.

No. 18
First-principles (PBE-GGA) data for a relaxed structure of Ce5Si2Bi2, as listed in Alexandria via LeMat-Bulk.

The space group is Cmce (No. 64) and the conventional cell measures 15.718, 8.015 and 8.010 Å, with angles of 90.00, 90.00 and 90.00 degrees. Symmetry generates all atoms from Ce at (0.000, 0.000, 0.000), Ce at (0.123, 0.182, 0.318), Si at (0.000, 0.111, 0.612) and Bi at (0.216, 0.000, 0.000).

For the total moment, the calculation gives 22.1 μB per cell. As for the uncorrected formation energy: -0.6591 eV/atom. Its crystal system is orthorhombic. For the total energy, the calculation gives -216.84 eV/cell. Its density of states at the Fermi level is 2.6104 states/eV per atom.

No. 19
First-principles (PBE-GGA) data for a relaxed structure of Sm2Ho5Tm6, as listed in Alexandria via LeMat-Bulk.

The space group is Pbam (No. 55) and the conventional cell measures 11.555, 20.020 and 3.543 Å, with angles of 90.00, 90.00 and 90.00 degrees. Symmetry generates all atoms from Sm at (0.168, 0.213, 0.000), Ho at (0.000, 0.500, 0.500), Ho at (0.091, 0.775, 0.500), Ho at (0.199, 0.049, 0.500), Tm at (0.059, 0.920, 0.000), Tm at (0.081, 0.632, 0.000) and Tm at (0.177, 0.369, 0.500).

For the total moment, the calculation gives 0.0 μB per cell. Its crystal system is orthorhombic. For the total energy, the calculation gives -115.67 eV/cell. Its density of states at the Fermi level is 1.2808 states/eV per atom.

No. 20
First-principles (PBE-GGA) data for a relaxed structure of Pt2Rh, as listed in Alexandria via LeMat-Bulk.

The space group is P-3m1 (No. 164) and the conventional cell measures 3.6706, 3.6706 and 4.5241 Å, with angles of 90.00, 90.00 and 120.00 degrees. Symmetry generates all atoms from Pt at (0.3333, 0.6667, 0.3252) and Rh at (0.0000, 0.0000, 0.0000).

For the total moment, the calculation gives 0.0 μB per cell. Its crystal system is trigonal. For the total energy, the calculation gives -17.71 eV/cell. Its density of states at the Fermi level is 1.8563 states/eV per atom.